# CrHgSe2, single point on PBEsol structure, DFT meta-GGA SCAN
data_CrHgSe2
_cell_length_a 2.945
_cell_length_b 4.971
_cell_length_c 11.120
_cell_angle_alpha 90.00
_cell_angle_beta 90.00
_cell_angle_gamma 90.00
_symmetry_space_group_name_H-M 'P 1'
_symmetry_Int_Tables_number 1
loop_
_symmetry_equiv_pos_as_xyz
'x,y,z'
loop_
_atom_site_label
_atom_site_type_symbol
_atom_site_fract_x
_atom_site_fract_y
_atom_site_fract_z
Cr1 Cr 0.000 0.000 0.000
Cr2 Cr 0.500 0.500 0.500
Hg1 Hg 0.000 0.000 0.500
Hg2 Hg 0.500 0.500 0.000
Se1 Se 0.000 0.500 0.330
Se2 Se 0.000 0.500 0.670
Se3 Se 0.500 0.000 0.170
Se4 Se 0.500 0.000 0.830
# SG: Immm
# DFT total energy: -31.8219 eV/atom

=====

# ZnHCI2, single point on PBEsol structure, DFT meta-GGA SCAN
data_ZnHCI2
_cell_length_a 5.080
_cell_length_b 5.080
_cell_length_c 3.369
_cell_angle_alpha 90.00
_cell_angle_beta 90.00
_cell_angle_gamma 90.00
_symmetry_space_group_name_H-M 'P 1'
_symmetry_Int_Tables_number 1
loop_
_symmetry_equiv_pos_as_xyz
'x,y,z'
loop_
_atom_site_label
_atom_site_type_symbol
_atom_site_fract_x
_atom_site_fract_y
_atom_site_fract_z
Zn1 Zn 0.000 0.000 0.000
H1 H 0.500 0.500 0.000
C1 C 0.500 0.500 0.500
I1 I 0.000 0.500 0.500
I2 I 0.500 0.000 0.500
# SG: P4/mmm
# DFT total energy: -18.9025 eV/atom

=====

Magnetic moment for every record listed, in sequence, given in μB per cell: 4.75, 0.00.